# NdErPu

Crystalline NdErPu at its relaxed geometry (GGA-PBE, Alexandria).

Values from the calculation:
Distance to the lowest polymorph of the same formula in eV/f.u.: 0.00
Density of states at the Fermi level in states/eV/cell: 14.03
Magnetization in Bohr magnetons per cell: 12.29
E_form in meV per atom: 123

Structure (CIF):
```
data_NdErPu
_symmetry_space_group_name_H-M 'I 4 m m'
_symmetry_Int_Tables_number 107
_symmetry_space_group_name_Hall 'I 4 -2'
_cell_length_a 3.537
_cell_length_b 3.537
_cell_length_c 14.900
_cell_angle_alpha 90.00
_cell_angle_beta 90.00
_cell_angle_gamma 90.00
loop_
_atom_site_label
_atom_site_fract_x
_atom_site_fract_y
_atom_site_fract_z
Nd1 0.000 0.000 0.000
Er1 0.000 0.000 0.327
Pu1 0.000 0.000 0.667
```



# Nd8Er4Pu

Crystalline Nd8Er4Pu at its relaxed geometry (GGA-PBE, Alexandria).

Values from the calculation:
Density of states at the Fermi level in states/eV/cell: 69.14
Magnetization in Bohr magnetons per cell: 18.59
E_form in meV per atom: 485

Structure (CIF):
```
data_Nd8Er4Pu
_symmetry_space_group_name_H-M 'R -3 m'
_symmetry_Int_Tables_number 166
_symmetry_space_group_name_Hall '-R 3 2"'
_cell_length_a 11.1304
_cell_length_b 11.1304
_cell_length_c 13.5357
_cell_angle_alpha 90.00
_cell_angle_beta 90.00
_cell_angle_gamma 120.00
loop_
_atom_site_label
_atom_site_fract_x
_atom_site_fract_y
_atom_site_fract_z
Nd1 0.0000 0.0000 0.2432
Nd2 0.0084 0.5042 0.7467
Er1 0.0000 0.0000 0.0000
Er2 0.0000 0.5000 0.0000
Pu1 0.0000 0.0000 0.5000
```



# Nd4ErPu3S8

Crystalline Nd4ErPu3S8 at its relaxed geometry (GGA-PBE, Alexandria).

Values from the calculation:
Density of states at the Fermi level in states/eV/cell: 74.41
Magnetization in Bohr magnetons per cell: 50.26
E_form (uncorrected) in eV/atom: -1.94

Structure (CIF):
```
data_Nd4ErPu3S8
_symmetry_space_group_name_H-M 'R -3 m'
_symmetry_Int_Tables_number 166
_symmetry_space_group_name_Hall '-R 3 2"'
_cell_length_a 7.9744
_cell_length_b 7.9744
_cell_length_c 19.7241
_cell_angle_alpha 90.00
_cell_angle_beta 90.00
_cell_angle_gamma 120.00
loop_
_atom_site_label
_atom_site_fract_x
_atom_site_fract_y
_atom_site_fract_z
Nd1 0.0000 0.0000 0.0000
Nd2 0.0000 0.5000 0.0000
Er1 0.0000 0.0000 0.5000
Pu1 0.0000 0.5000 0.5000
S1 0.0000 0.0000 0.2462
S2 0.0034 0.5017 0.2457
```



# Nd3ErPu2S6

Crystalline Nd3ErPu2S6 at its relaxed geometry (GGA-PBE, Alexandria).

Values from the calculation:
Density of states at the Fermi level in states/eV/cell: 34.05
Magnetization in Bohr magnetons per cell: 22.43
E_form (uncorrected) in eV/atom: -1.94

Structure (CIF):
```
data_Nd3ErPu2S6
_symmetry_space_group_name_H-M 'C 1 2/m 1'
_symmetry_Int_Tables_number 12
_cell_length_a 6.901
_cell_length_b 11.955
_cell_length_c 6.960
_cell_angle_alpha 90.00
_cell_angle_beta 109.27
_cell_angle_gamma 90.00
loop_
_symmetry_equiv_pos_as_xyz
'x,y,z'
'-x,-y,-z'
'-x,y,-z'
'x,-y,z'
'x+1/2,y+1/2,z'
'-x+1/2,-y+1/2,-z'
'-x+1/2,y+1/2,-z'
'x+1/2,-y+1/2,z'
loop_
_atom_site_label
_atom_site_fract_x
_atom_site_fract_y
_atom_site_fract_z
Nd1 0.000 0.000 0.000
Nd2 0.000 0.332 0.000
Er1 0.000 0.500 0.500
Pu1 0.000 0.166 0.500
S1 0.244 0.335 0.736
S2 0.250 0.000 0.739
```



# Nd2ErPuSb4

Crystalline Nd2ErPuSb4 at its relaxed geometry (GGA-PBE, Alexandria).

Values from the calculation:
Density of states at the Fermi level in states/eV/cell: 16.75
Magnetization in Bohr magnetons per cell: 5.02
E_form (uncorrected) in eV/atom: -1.01

Structure (CIF):
```
data_Nd2ErPuSb4
_symmetry_space_group_name_H-M 'P 1 2/m 1'
_symmetry_Int_Tables_number 10
_cell_length_a 7.712
_cell_length_b 4.463
_cell_length_c 7.716
_cell_angle_alpha 90.00
_cell_angle_beta 109.44
_cell_angle_gamma 90.00
loop_
_symmetry_equiv_pos_as_xyz
'x,y,z'
'-x,-y,-z'
'-x,y,-z'
'x,-y,z'
loop_
_atom_site_label
_atom_site_fract_x
_atom_site_fract_y
_atom_site_fract_z
Nd1 0.000 0.000 0.000
Nd2 0.500 0.500 0.000
Er1 0.000 0.500 0.500
Pu1 0.500 0.000 0.500
Sb1 0.245 0.000 0.740
Sb2 0.252 0.500 0.259
```



# NdErPu2Sb4

Crystalline NdErPu2Sb4 at its relaxed geometry (GGA-PBE, Alexandria).

Values from the calculation:
Density of states at the Fermi level in states/eV/cell: 28.45
Magnetization in Bohr magnetons per cell: 10.07
E_form (uncorrected) in eV/atom: -0.86

Structure (CIF):
```
data_NdErPu2Sb4
_symmetry_space_group_name_H-M 'P 1 2/m 1'
_symmetry_Int_Tables_number 10
_cell_length_a 7.662
_cell_length_b 4.439
_cell_length_c 7.685
_cell_angle_alpha 90.00
_cell_angle_beta 109.54
_cell_angle_gamma 90.00
loop_
_symmetry_equiv_pos_as_xyz
'x,y,z'
'-x,-y,-z'
'-x,y,-z'
'x,-y,z'
loop_
_atom_site_label
_atom_site_fract_x
_atom_site_fract_y
_atom_site_fract_z
Nd1 0.000 0.000 0.000
Er1 0.000 0.500 0.500
Pu1 0.500 0.000 0.500
Pu2 0.500 0.500 0.000
Sb1 0.251 0.000 0.745
Sb2 0.255 0.500 0.257
```



# NdEr2PuSb4

Crystalline NdEr2PuSb4 at its relaxed geometry (GGA-PBE, Alexandria).

Values from the calculation:
Density of states at the Fermi level in states/eV/cell: 16.77
Magnetization in Bohr magnetons per cell: 5.04
E_form (uncorrected) in eV/atom: -0.98

Structure (CIF):
```
data_NdEr2PuSb4
_symmetry_space_group_name_H-M 'P 1 2/m 1'
_symmetry_Int_Tables_number 10
_cell_length_a 7.635
_cell_length_b 4.424
_cell_length_c 7.651
_cell_angle_alpha 90.00
_cell_angle_beta 109.52
_cell_angle_gamma 90.00
loop_
_symmetry_equiv_pos_as_xyz
'x,y,z'
'-x,-y,-z'
'-x,y,-z'
'x,-y,z'
loop_
_atom_site_label
_atom_site_fract_x
_atom_site_fract_y
_atom_site_fract_z
Nd1 0.000 0.000 0.000
Er1 0.500 0.000 0.500
Er2 0.500 0.500 0.000
Pu1 0.000 0.500 0.500
Sb1 0.256 0.000 0.749
Sb2 0.259 0.500 0.256
```



# Nd2ErPuSe4

Crystalline Nd2ErPuSe4 at its relaxed geometry (GGA-PBE, Alexandria).

Values from the calculation:
Density of states at the Fermi level in states/eV/cell: 9.65
Magnetization in Bohr magnetons per cell: 5.81
E_form (uncorrected) in eV/atom: -1.74

Structure (CIF):
```
data_Nd2ErPuSe4
_symmetry_space_group_name_H-M 'P 1 2/m 1'
_symmetry_Int_Tables_number 10
_cell_length_a 7.195
_cell_length_b 4.130
_cell_length_c 7.249
_cell_angle_alpha 90.00
_cell_angle_beta 109.03
_cell_angle_gamma 90.00
loop_
_symmetry_equiv_pos_as_xyz
'x,y,z'
'-x,-y,-z'
'-x,y,-z'
'x,-y,z'
loop_
_atom_site_label
_atom_site_fract_x
_atom_site_fract_y
_atom_site_fract_z
Nd1 0.000 0.000 0.000
Nd2 0.500 0.500 0.000
Er1 0.000 0.500 0.500
Pu1 0.500 0.000 0.500
Se1 0.241 0.000 0.736
Se2 0.250 0.500 0.261
```